Density functional theory data (meta-GGA SCAN) for a crystal of CaSiBHO5 relaxed with PBEsol.

Cell lengths 4.8296, 7.5886, 9.6267 Å; angles 90.00, 90.37, 90.00 degrees
With the nearest neighbours (Å) after each atom.
Sites, in units of the cell vectors:
Ca  0.0086  0.1064  0.1636  5 O 2.26-2.53
Ca  0.0086  0.3936  0.6636  5 O 2.26-2.53
Ca  0.9914  0.6064  0.3364  5 O 2.26-2.53
Ca  0.9914  0.8936  0.8364  5 O 2.26-2.53
Si  0.4702  0.7318  0.5839  4 O 1.59-1.67
Si  0.4702  0.7682  0.0839  4 O 1.59-1.67
Si  0.5298  0.2318  0.9161  4 O 1.59-1.67
Si  0.5298  0.2682  0.4161  4 O 1.59-1.67
B  0.4285  0.0881  0.6587  4 O 1.47-1.49
B  0.4285  0.4119  0.1587  4 O 1.47-1.49
B  0.5715  0.5881  0.8413  4 O 1.47-1.49
B  0.5715  0.9119  0.3413  4 O 1.47-1.49
H  0.1967  0.5325  0.9250  1 O 0.99
H  0.1967  0.9675  0.4250  1 O 0.99
H  0.8033  0.0325  0.5750  1 O 0.99
H  0.8033  0.4675  0.0750  1 O 0.99
O  0.2414  0.5939  0.5356  1 Si 1.59
O  0.2414  0.9061  0.0356  1 Si 1.59
O  0.2623  0.5851  0.8373  1 H 0.99
O  0.2623  0.9149  0.3373  1 H 0.99
O  0.3098  0.5898  0.1452  1 B 1.47
O  0.3098  0.9102  0.6452  1 B 1.47
O  0.3211  0.1645  0.7887  1 B 1.48
O  0.3211  0.3355  0.2887  1 B 1.48
O  0.3242  0.1974  0.5415  1 B 1.49, 1 Si 1.66
O  0.3242  0.3026  0.0415  1 B 1.49, 1 Si 1.66
O  0.6758  0.6974  0.9585  1 B 1.49, 1 Si 1.66
O  0.6758  0.8026  0.4585  1 B 1.49, 1 Si 1.66
O  0.6789  0.6645  0.7113  1 B 1.48
O  0.6789  0.8355  0.2113  1 B 1.48
O  0.6902  0.0898  0.3548  1 B 1.47
O  0.6902  0.4102  0.8548  1 B 1.47
O  0.7377  0.0851  0.6627  1 H 0.99
O  0.7377  0.4149  0.1627  1 H 0.99
O  0.7586  0.0939  0.9644  1 Si 1.59
O  0.7586  0.4061  0.4644  1 Si 1.59

Properties
As for the energy: -9.6377 eV per atom. As for the space group: P2_1/c, No. 14. The value obtained for the total moment is 0.00 μB per atom.